(1)
## HfZnW3 (PBE)

Data for crystalline HfZnW3 at its relaxed geometry.

Results
E_form ... 2.508 eV/atom
Excess energy over the best structure of this formula in the dataset ... 0.9447 eV/atom

abc: 4.803 4.803 4.803
angles: 90.00 90.00 90.00
Space group Pm-3m (No. 221)
Symmetry-distinct sites (fractional):
Hf  0.000  0.000  0.000 x1
Zn  0.500  0.500  0.500 x1
W  0.000  0.000  0.500 x3

(2)
## TlFe2Ru (PBE)

Data for crystalline TlFe2Ru at its relaxed geometry.

Results
E_form ... 0.497 eV/atom
Excess energy over the best structure of this formula in the dataset ... 0.1099 eV/atom

abc: 9.590 3.288 4.369
angles: 90.00 116.37 90.00
Space group C2/m (No. 12)
Symmetry-distinct sites (fractional):
Tl  0.000  0.000  0.000 x2
Fe  0.238  0.000  0.736 x4
Ru  0.000  0.500  0.500 x2

- What is the E_form in the first record?
  2.508 eV/atom